No. 1
CePr2ErAs4, relaxed, DFT GGA-PBE; volume = 26.700 Å³ per atom; SG = P2/m (10); DOS(E_F) = 6.233 states/eV/cell
1.0
4.2281 0.0000 0.0000
0.0000 7.3272 -0.1530
0.0000 2.5708 6.8411
Pr As Ce Er
2 4 1 1
Direct
0.0000 0.0000 0.0000
0.5000 0.0000 0.5000
0.5000 0.7373 0.2559
0.5000 0.2627 0.7441
0.0000 0.2607 0.2488
0.0000 0.7393 0.7512
0.5000 0.5000 0.0000
0.0000 0.5000 0.5000

***

No. 2
Ce3PrEr2As6, relaxed, DFT GGA-PBE; volume = 25.969 Å³ per atom; SG = C2/m (12); DOS(E_F) = 16.978 states/eV/cell
1.0
-4.3057 5.0150 3.0011
-2.8799 -6.0293 -2.8371
2.9776 -2.7828 5.9915
As Pr Er Ce
6 1 2 3
Direct
0.2592 0.2592 0.7533
0.0831 0.4242 0.2489
0.9169 0.5758 0.7511
0.5758 0.9169 0.7511
0.4242 0.0831 0.2489
0.7408 0.7408 0.2467
0.0000 0.0000 0.0000
0.3326 0.6674 0.0000
0.6674 0.3326 0.0000
0.1647 0.8353 0.5000
0.8353 0.1647 0.5000
0.5000 0.5000 0.5000

***

No. 3
Ce2ErPu3As6, relaxed, DFT GGA-PBE; volume = 25.365 Å³ per atom; SG = C2/m (12); DOS(E_F) = 43.064 states/eV/cell
1.0
-0.2689 -3.3580 -2.4486
7.0046 -2.9641 3.2959
-6.2766 -1.7430 6.6212
As Ce Er Pu
6 2 1 3
Direct
0.3343 0.9208 0.6686
0.6668 0.5850 0.3336
0.9987 0.2483 0.9974
0.3332 0.4150 0.6664
0.6657 0.0792 0.3314
0.0013 0.7517 0.0026
0.1654 0.3310 0.3308
0.8346 0.6690 0.6692
0.5000 0.0000 0.0000
0.8325 0.1656 0.6650
0.5000 0.5000 0.0000
0.1675 0.8344 0.3350

***

No. 4
CeErPu2As4, relaxed, DFT GGA-PBE; volume = 25.211 Å³ per atom; SG = P2/m (10); DOS(E_F) = 22.557 states/eV/cell
1.0
4.1573 0.0000 0.0000
0.0000 7.1898 0.1224
0.0000 -2.5131 6.7047
As Pu Er Ce
4 2 1 1
Direct
0.0000 0.7541 0.2522
0.5000 0.2474 0.2507
0.5000 0.7526 0.7493
0.0000 0.2459 0.7478
0.5000 0.0000 0.5000
0.0000 0.5000 0.5000
0.0000 0.0000 0.0000
0.5000 0.5000 0.0000

***

| no. | energy (eV per atom) |
| --- | --- |
| 1 | -6.315 |
| 2 | -6.430 |
| 3 | -8.500 |
| 4 | -8.469 |